Si2SbAu | PBE-GGA | relaxed

Lattice parameters (Å, degrees): 5.8579 5.8579 5.8579 150.09 128.34 60.85
Last column: nearest neighbours and their distance in Å.
Fractional positions:
Au: 0.2500 0.7500 0.5000  4 Si 2.81, 4 Sb 2.97, 2 Au 3.02
Si: 0.0159 0.0159 0.0000  2 Au 2.81, 6 Si 2.98-3.02, 2 Sb 3.08
Sb: 0.7500 0.2500 0.5000  4 Au 2.97, 2 Sb 3.02, 4 Si 3.08
Si: 0.4841 0.4841 0.0000  2 Au 2.81, 6 Si 2.98-3.02, 2 Sb 3.08

As for the formation energy (no corrections): 1.8 eV/f.u. The calculation puts the density of states at the Fermi level at 1.60 states/eV per cell. Its total energy is -16.40 eV for the cell shown.

SiSbAu2 | PBE-GGA | relaxed

Lattice parameters (Å, degrees): 3.1897 3.3692 7.4002 90.00 90.00 90.00
Last column: nearest neighbours and their distance in Å.
Fractional positions:
Si: 0.5000 0.5000 0.7500  8 Au 2.78
Au: 0.0000 0.0000 0.9570  4 Si 2.78, 1 Au 3.06
Au: 0.0000 0.0000 0.5430  4 Si 2.78, 1 Au 3.06
Sb: 0.5000 0.5000 0.2500  8 Au 3.18, 4 Sb 3.19-3.37

As for the formation energy (no corrections): 0.9 eV/f.u. The calculation puts the density of states at the Fermi level at 1.65 states/eV per cell. Its total energy is -15.24 eV for the cell shown. The value obtained for the excess energy over the best structure of this formula in the dataset is 0.1790 eV/atom.

SiSbAu2 | PBE-GGA | relaxed

Lattice parameters (Å, degrees): 4.1557 4.5227 4.5204 79.30 90.00 90.00
Last column: nearest neighbours and their distance in Å.
Fractional positions:
Si: 0.5000 0.7500 0.7500  4 Au 2.56
Sb: 0.5000 0.2500 0.2500  4 Au 2.88, 2 Si 2.89
Au: 0.0000 0.9636 0.9635  2 Si 2.56
Au: 0.0000 0.5364 0.5365  2 Si 2.56

As for the formation energy (no corrections): 0.3 eV/f.u. The calculation puts the density of states at the Fermi level at 1.08 states/eV per cell. Its total energy is -15.85 eV for the cell shown. The value obtained for the excess energy over the best structure of this formula in the dataset is 0.0274 eV/atom.

SiSbAu2 | PBE-GGA | relaxed

Lattice parameters (Å, degrees): 4.8350 4.8350 4.8194 69.35 69.35 108.71
Last column: nearest neighbours and their distance in Å.
Fractional positions:
Si: 0.0000 0.5000 0.5000  4 Au 2.75, 2 Sb 2.82
Sb: 0.5000 0.0000 0.5000  4 Au 2.75, 2 Si 2.82
Au: 0.5000 0.5000 0.0000  2 Sb 2.75, 2 Si 2.75, 2 Au 2.82
Au: 0.0000 0.0000 0.0000  2 Si 2.75, 2 Sb 2.75, 2 Au 2.82

As for the formation energy (no corrections): 0.6 eV/f.u. The calculation puts the density of states at the Fermi level at 2.30 states/eV per cell. Its total energy is -15.52 eV for the cell shown. The value obtained for the excess energy over the best structure of this formula in the dataset is 0.1093 eV/atom.

Si2SbAu | PBE-GGA | relaxed

Lattice parameters (Å, degrees): 5.0036 3.9880 3.9880 90.00 90.00 90.00
Last column: nearest neighbours and their distance in Å.
Fractional positions:
Si: 0.0000 0.5000 0.5000  4 Si 2.82
Sb: 0.5000 0.0000 0.5000  4 Au 2.82
Au: 0.5000 0.5000 0.0000  4 Sb 2.82
Si: 0.0000 0.0000 0.0000  4 Si 2.82

As for the formation energy (no corrections): 2.0 eV/f.u. The calculation puts the density of states at the Fermi level at 2.36 states/eV per cell. Its total energy is -16.25 eV for the cell shown.

Si4SbAu | PBE-GGA | relaxed

Lattice parameters (Å, degrees): 5.3315 5.3315 5.3315 60.00 60.00 60.00
Last column: nearest neighbours and their distance in Å.
Fractional positions:
Si: 0.8712 0.3763 0.3763  6 Si 2.64-2.69
Au: 0.7500 0.7500 0.7500  12 Si 3.12, 4 Sb 3.26
Si: 0.3763 0.3763 0.3763  6 Si 2.64-2.69
Sb: 0.0000 0.0000 0.0000  12 Si 3.13, 4 Au 3.26
Si: 0.3763 0.8712 0.3763  6 Si 2.64-2.69
Si: 0.3763 0.3763 0.8712  6 Si 2.64-2.69

As for the formation energy (no corrections): 3.4 eV/f.u. The calculation puts the density of states at the Fermi level at 3.75 states/eV per cell. Its total energy is -25.66 eV for the cell shown.

Si2SbAu | PBE-GGA | relaxed

Lattice parameters (Å, degrees): 3.2354 3.2354 7.5000 90.00 90.00 101.22
Last column: nearest neighbours and their distance in Å.
Fractional positions:
Au: 0.0000 0.0000 0.4602  2 Si 2.67
Sb: 0.5000 0.5000 0.7533  4 Au 3.01-3.33, 2 Si 3.05, 4 Sb 3.24
Si: 0.0000 0.0000 0.0546  2 Si 2.45
Si: 0.5000 0.5000 0.2318  2 Si 2.45, 2 Au 2.67

As for the formation energy (no corrections): 1.5 eV/f.u. The calculation puts the density of states at the Fermi level at 2.21 states/eV per cell. Its total energy is -16.75 eV for the cell shown.

SiSbAu2 | PBE-GGA | relaxed

Lattice parameters (Å, degrees): 3.7757 4.8901 4.8647 68.71 90.00 90.00
Last column: nearest neighbours and their distance in Å.
Fractional positions:
Si: 0.5000 0.7682 0.7683  4 Au 2.53-2.76, 2 Sb 2.81
Au: 0.0000 0.9779 0.9776  2 Si 2.53, 2 Sb 2.76-2.77
Sb: 0.0000 0.5100 0.5102  4 Au 2.76-2.86, 2 Si 2.81
Au: 0.5000 0.2439 0.2439  2 Si 2.76, 2 Au 2.86, 2 Sb 2.86

As for the formation energy (no corrections): 0.4 eV/f.u. The calculation puts the density of states at the Fermi level at 1.54 states/eV per cell. Its total energy is -15.69 eV for the cell shown. The value obtained for the excess energy over the best structure of this formula in the dataset is 0.0672 eV/atom.

SiSbAu3 | PBE-GGA | relaxed

Lattice parameters (Å, degrees): 5.8831 5.7091 12.8361 76.49 90.00 90.00
Last column: nearest neighbours and their distance in Å.
Fractional positions:
Si: 0.5641 0.0884 0.0692  1 Si 2.36, 3 Au 2.43-2.46
Au: 0.3606 0.4424 0.0952  1 Si 2.44
Au: 0.0478 0.7638 0.9587  1 Si 2.43
Au: 0.4627 0.2388 0.7687  1 Si 2.46
Au: 0.5478 0.2362 0.5413  1 Si 2.43
Au: 0.4522 0.7638 0.4587  1 Si 2.43
Au: 0.9627 0.7612 0.7313  1 Si 2.46
Au: 0.1394 0.4424 0.5952  1 Si 2.44
Au: 0.8606 0.5576 0.4048  1 Si 2.44
Sb: 0.5446 0.2263 0.3115  8 Au 2.92-3.09
Si: 0.9359 0.0884 0.5692  1 Si 2.36, 3 Au 2.43-2.46
Sb: 0.9554 0.2263 0.8115  8 Au 2.92-3.09
Au: 0.9522 0.2362 0.0413  1 Si 2.43
Au: 0.0373 0.2388 0.2687  1 Si 2.46
Si: 0.4359 0.9116 0.9308  1 Si 2.36, 3 Au 2.43-2.46
Si: 0.0641 0.9116 0.4308  1 Si 2.36, 3 Au 2.43-2.46
Au: 0.6394 0.5576 0.9048  1 Si 2.44
Sb: 0.4554 0.7737 0.6885  8 Au 2.92-3.09
Au: 0.5373 0.7612 0.2313  1 Si 2.46
Sb: 0.0446 0.7737 0.1885  8 Au 2.92-3.09

As for the formation energy (no corrections): 0.2 eV/f.u. The calculation puts the density of states at the Fermi level at 8.42 states/eV per cell. Its total energy is -76.69 eV for the cell shown. The value obtained for the excess energy over the best structure of this formula in the dataset is 0.0000 eV/atom.

SiSbAu2 | PBE-GGA | relaxed

Lattice parameters (Å, degrees): 3.9966 3.9945 5.0456 90.00 90.00 90.00
Last column: nearest neighbours and their distance in Å.
Fractional positions:
Au: 0.0000 0.0000 0.0000  4 Au 2.83
Au: 0.5000 0.5000 0.0000  4 Au 2.83
Sb: 0.5000 0.0000 0.5000  4 Si 2.83
Si: 0.0000 0.5000 0.5000  4 Sb 2.83

As for the formation energy (no corrections): 1.1 eV/f.u. The calculation puts the density of states at the Fermi level at 1.63 states/eV per cell. Its total energy is -14.96 eV for the cell shown. The value obtained for the excess energy over the best structure of this formula in the dataset is 0.2504 eV/atom.

SiSbAu2 | PBE-GGA | relaxed

Lattice parameters (Å, degrees): 6.5044 6.5044 6.5044 35.41 35.41 35.41
Last column: nearest neighbours and their distance in Å.
Fractional positions:
Si: 0.7500 0.7500 0.7500  6 Au 2.60
Au: 0.4843 0.4843 0.4843  3 Si 2.60
Sb: 0.2500 0.2500 0.2500  6 Au 2.91
Au: 0.0157 0.0157 0.0157  3 Si 2.60

As for the formation energy (no corrections): 0.1 eV/f.u. The calculation puts the density of states at the Fermi level at 0.98 states/eV per cell. Its total energy is -15.96 eV for the cell shown. The value obtained for the excess energy over the best structure of this formula in the dataset is 0.0000 eV/atom.

SiSbAu2 | PBE-GGA | relaxed

Lattice parameters (Å, degrees): 7.2045 7.2045 6.0717 53.61 53.61 90.00
Last column: nearest neighbours and their distance in Å.
Fractional positions:
Au: 0.5833 0.1250 0.2500  2 Si 2.49
Si: 0.2500 0.7500 0.5000  4 Au 2.49
Au: 0.3750 0.4167 0.7500  2 Si 2.49
Au: 0.8750 0.8333 0.7500  2 Si 2.49
Si: 0.5000 0.5000 0.0000  4 Au 2.49
Au: 0.1667 0.6250 0.2500  2 Si 2.49
Sb: 0.0000 0.0000 0.0000  4 Au 2.89
Sb: 0.7500 0.2500 0.5000  4 Au 2.89

As for the formation energy (no corrections): 0.6 eV/f.u. The calculation puts the density of states at the Fermi level at 3.28 states/eV per cell. Its total energy is -31.05 eV for the cell shown. The value obtained for the excess energy over the best structure of this formula in the dataset is 0.1080 eV/atom.

Si2SbAu | PBE-GGA | relaxed

Lattice parameters (Å, degrees): 5.5962 5.5962 4.0025 70.97 70.97 122.02
Last column: nearest neighbours and their distance in Å.
Fractional positions:
Au: 0.5000 0.0000 0.5000  4 Sb 2.71-2.96, 4 Si 2.86
Sb: 0.0000 0.5000 0.5000  4 Au 2.71-2.96, 4 Si 2.86
Si: 0.0000 0.0000 0.0000  4 Si 2.71-2.96, 2 Au 2.86, 2 Sb 2.86
Si: 0.5000 0.5000 0.0000  4 Si 2.71-2.96, 2 Sb 2.86, 2 Au 2.86

As for the formation energy (no corrections): 1.2 eV/f.u. The calculation puts the density of states at the Fermi level at 1.68 states/eV per cell. Its total energy is -17.03 eV for the cell shown.

Si2SbAu | PBE-GGA | relaxed

Lattice parameters (Å, degrees): 5.9177 5.9177 7.0986 65.37 65.37 90.00
Last column: nearest neighbours and their distance in Å.
Fractional positions:
Si: 0.3750 0.3428 0.7500  2 Au 2.43, 2 Sb 2.65
Au: 0.0000 0.0000 0.0000  4 Si 2.43
Sb: 0.5000 0.5000 0.0000  4 Si 2.65
Si: 0.0928 0.6250 0.2500  2 Au 2.43, 2 Sb 2.65
Si: 0.8750 0.9072 0.7500  2 Au 2.43, 2 Sb 2.65
Si: 0.6572 0.1250 0.2500  2 Au 2.43, 2 Sb 2.65
Au: 0.7500 0.2500 0.5000  4 Si 2.43
Sb: 0.2500 0.7500 0.5000  4 Si 2.65

As for the formation energy (no corrections): 0.8 eV/f.u. The calculation puts the density of states at the Fermi level at 2.78 states/eV per cell. Its total energy is -34.96 eV for the cell shown.

SiSbAu3 | PBE-GGA | relaxed

Lattice parameters (Å, degrees): 5.1896 5.1896 5.1896 90.00 90.00 90.00
Last column: nearest neighbours and their distance in Å.
Fractional positions:
Au: 0.0000 0.0000 0.5000  2 Sb 2.59
Au: 0.0000 0.5000 0.0000  2 Sb 2.59
Si: 0.5000 0.5000 0.5000  12 Au 3.67
Sb: 0.0000 0.0000 0.0000  6 Au 2.59
Au: 0.5000 0.0000 0.0000  2 Sb 2.59

As for the formation energy (no corrections): 4.3 eV/f.u. The calculation puts the density of states at the Fermi level at 3.22 states/eV per cell. Its total energy is -15.08 eV for the cell shown. The value obtained for the excess energy over the best structure of this formula in the dataset is 0.8191 eV/atom.

SiSbAu3 | PBE-GGA | relaxed

Lattice parameters (Å, degrees): 4.8231 4.8231 4.8231 90.00 90.00 90.00
Last column: nearest neighbours and their distance in Å.
Fractional positions:
Au: 0.0000 0.5000 0.0000  2 Si 2.41
Sb: 0.5000 0.5000 0.5000  12 Au 3.41
Au: 0.5000 0.0000 0.0000  2 Si 2.41
Au: 0.0000 0.0000 0.5000  2 Si 2.41
Si: 0.0000 0.0000 0.0000  6 Au 2.41

As for the formation energy (no corrections): 1.7 eV/f.u. The calculation puts the density of states at the Fermi level at 3.62 states/eV per cell. Its total energy is -17.66 eV for the cell shown. The value obtained for the excess energy over the best structure of this formula in the dataset is 0.3033 eV/atom.

Si2SbAu | PBE-GGA | relaxed

Lattice parameters (Å, degrees): 3.8432 3.8432 6.6335 72.82 72.82 60.38
Last column: nearest neighbours and their distance in Å.
Fractional positions:
Si: 0.4911 0.4911 0.5322  3 Au 2.60-2.61, 3 Sb 2.83-2.85
Sb: 0.2500 0.2500 0.2500  6 Si 2.83-2.85
Au: 0.7500 0.7500 0.7500  6 Si 2.60-2.61
Si: 0.0089 0.0089 0.9678  3 Au 2.60-2.61, 3 Sb 2.83-2.85

As for the formation energy (no corrections): 0.8 eV/f.u. The calculation puts the density of states at the Fermi level at 2.23 states/eV per cell. Its total energy is -17.40 eV for the cell shown.

Si2SbAu | PBE-GGA | relaxed

Lattice parameters (Å, degrees): 5.1520 5.1520 5.1520 137.65 114.79 80.89
Last column: nearest neighbours and their distance in Å.
Fractional positions:
Si: 0.2406 0.7406 0.5000  2 Si 2.44, 2 Au 2.59
Sb: 0.7490 0.2490 0.5000  2 Au 2.87, 2 Si 2.95
Si: 0.0402 0.0402 0.0000  2 Si 2.44
Au: 0.4702 0.4702 0.0000  2 Si 2.59, 2 Sb 2.87

As for the formation energy (no corrections): 1.7 eV/f.u. The calculation puts the density of states at the Fermi level at 1.36 states/eV per cell. Its total energy is -16.59 eV for the cell shown.

Si2SbAu | PBE-GGA | relaxed

Lattice parameters (Å, degrees): 5.7930 5.7930 5.7930 140.09 140.09 57.71
Last column: nearest neighbours and their distance in Å.
Fractional positions:
Sb: 0.7500 0.2500 0.5000  4 Si 2.80
Si: 0.0000 0.0000 0.0000  4 Au 2.80
Si: 0.2500 0.7500 0.5000  4 Sb 2.80
Au: 0.5000 0.5000 0.0000  4 Si 2.80

As for the formation energy (no corrections): 2.0 eV/f.u. The calculation puts the density of states at the Fermi level at 2.21 states/eV per cell. Its total energy is -16.22 eV for the cell shown.

Si2SbAu | PBE-GGA | relaxed

Lattice parameters (Å, degrees): 6.6555 6.6555 6.6555 33.43 33.43 33.43
Last column: nearest neighbours and their distance in Å.
Fractional positions:
Au: 0.5105 0.5105 0.5105  3 Si 2.70, 3 Sb 2.85
Sb: 0.7482 0.7482 0.7482  3 Au 2.85, 3 Si 2.90
Si: 0.9821 0.9821 0.9821  3 Si 2.45
Si: 0.2593 0.2593 0.2593  3 Si 2.45, 3 Au 2.70

As for the formation energy (no corrections): 0.7 eV/f.u. The calculation puts the density of states at the Fermi level at 1.29 states/eV per cell. Its total energy is -17.59 eV for the cell shown.